Pm2Pr2Dy3 GGA-PBE optimized geometry; offset from the most stable computed form = 0 meV/atom; ΔH_f (0 K) = 0.1282 eV per atom; crystal system = monoclinic; volume = 33.99 Å³ per atom
1.0
8.5109 -1.7620 0.0000
8.5109 1.7620 0.0000
-3.9715 0.0000 7.9334
Pm Pr Dy
2 2 3
direct
0.1396 0.1396 0.4066
0.8604 0.8604 0.5934
0.4203 0.4203 0.2949
0.5797 0.5797 0.7051
0.2798 0.2798 0.8556
0.5000 0.5000 0.0000
0.7202 0.7202 0.1444